[1]
# DyTlHgRh, optimized geometry, DFT PBE-GGA
# - Density: 12.8 Mg/m³
# - Energy of formation: -258 meV per atom
# - Final energy: -3.914 eV/atom
data_DyTlHgRh
_chemical_formula_sum 'Dy4 Tl4 Hg4 Rh4'
_cell_length_a 7.028
_cell_length_b 7.028
_cell_length_c 7.028
_cell_angle_alpha 90.00
_cell_angle_beta 90.00
_cell_angle_gamma 90.00
_symmetry_space_group_name_H-M 'F -4 3 m'
_symmetry_Int_Tables_number 216
_symmetry_space_group_name_Hall 'F -4 2 3'
loop_
_atom_site_label
_atom_site_type_symbol
_atom_site_fract_x
_atom_site_fract_y
_atom_site_fract_z
_atom_site_occupancy
Dy1 Dy 0.000 0.000 0.000 1
Tl1 Tl 0.000 0.000 0.500 1
Hg1 Hg 0.250 0.250 0.750 1
Rh1 Rh 0.250 0.250 0.250 1



[2]
# SrMg2Ga2Hg2, optimized geometry, DFT PBE-GGA
# - Density: 6.6 Mg/m³
# - Energy of formation: -286 meV per atom
# - Final energy: -1.933 eV/atom
data_SrMg2Ga2Hg2
_chemical_formula_sum 'Sr3 Mg6 Ga6 Hg6'
_cell_length_a 4.6709
_cell_length_b 4.6709
_cell_length_c 26.8602
_cell_angle_alpha 90.00
_cell_angle_beta 90.00
_cell_angle_gamma 120.00
_symmetry_space_group_name_H-M 'R -3 m'
_symmetry_Int_Tables_number 166
_symmetry_space_group_name_Hall '-R 3 2"'
loop_
_atom_site_label
_atom_site_type_symbol
_atom_site_fract_x
_atom_site_fract_y
_atom_site_fract_z
_atom_site_occupancy
Sr1 Sr 0.0000 0.0000 0.0000 1
Mg1 Mg 0.0000 0.0000 0.1373 1
Ga1 Ga 0.0000 0.0000 0.2455 1
Hg1 Hg 0.0000 0.0000 0.4144 1



[3]
# ZrCd2InAu, optimized geometry, DFT PBE-GGA
# - Density: 5.8 Mg/m³
# - Energy of formation: 976 meV per atom
# - Final energy: -2.303 eV/atom
# - E above lowest polymorph: 227 meV/atom
data_ZrCd2InAu
_chemical_formula_sum 'Zr1 Cd2 In1 Au1'
_cell_length_a 5.626
_cell_length_b 5.626
_cell_length_c 5.675
_cell_angle_alpha 90.00
_cell_angle_beta 90.00
_cell_angle_gamma 90.00
_symmetry_space_group_name_H-M 'P 4/m m m'
_symmetry_Int_Tables_number 123
_symmetry_space_group_name_Hall '-P 4 2'
loop_
_atom_site_label
_atom_site_type_symbol
_atom_site_fract_x
_atom_site_fract_y
_atom_site_fract_z
_atom_site_occupancy
Zr1 Zr 0.000 0.000 0.000 1
Cd1 Cd 0.000 0.500 0.000 1
In1 In 0.000 0.000 0.500 1
Au1 Au 0.500 0.500 0.500 1



[4]
# PrHo6Er8, optimized geometry, DFT PBE-GGA
# - Density: 8.6 Mg/m³
# - Energy of formation: 138 meV per atom
# - Final energy: -4.446 eV/atom
# - E above lowest polymorph: 0 meV/atom
data_PrHo6Er8
_chemical_formula_sum 'Pr3 Ho18 Er24'
_cell_length_a 8.9675
_cell_length_b 8.9675
_cell_length_c 20.4370
_cell_angle_alpha 90.00
_cell_angle_beta 90.00
_cell_angle_gamma 120.00
_symmetry_space_group_name_H-M 'R -3'
_symmetry_Int_Tables_number 148
_symmetry_space_group_name_Hall '-R 3'
loop_
_atom_site_label
_atom_site_type_symbol
_atom_site_fract_x
_atom_site_fract_y
_atom_site_fract_z
_atom_site_occupancy
Pr1 Pr 0.0000 0.0000 0.0000 1
Ho1 Ho 0.0627 0.2454 0.7078 1
Er1 Er 0.0000 0.0000 0.4237 1
Er2 Er 0.0809 0.5516 0.8089 1



[5]
# Rb2CeNp2Te6, optimized geometry, DFT PBE-GGA
# - Density: 5.5 Mg/m³
# - ΔE_f (raw): -0.983 eV/atom
# - Final energy: -5.764 eV/atom
data_Rb2CeNp2Te6
_chemical_formula_sum 'Rb4 Ce2 Np4 Te12'
_cell_length_a 7.863
_cell_length_b 13.657
_cell_length_c 9.097
_cell_angle_alpha 90.00
_cell_angle_beta 106.63
_cell_angle_gamma 90.00
_symmetry_space_group_name_H-M 'C 1 2/m 1'
_symmetry_Int_Tables_number 12
_symmetry_space_group_name_Hall '-C 2y'
loop_
_atom_site_label
_atom_site_type_symbol
_atom_site_fract_x
_atom_site_fract_y
_atom_site_fract_z
_atom_site_occupancy
Rb1 Rb 0.000 0.165 0.000 1
Ce1 Ce 0.000 0.000 0.500 1
Np1 Np 0.000 0.333 0.500 1
Te1 Te 0.226 0.500 0.697 1
Te2 Te 0.234 0.169 0.697 1



[6]
# DyY2Ho2In, optimized geometry, DFT PBE-GGA
# - Density: 7.4 Mg/m³
# - Energy of formation: -32 meV per atom
# - Final energy: -4.936 eV/atom
data_DyY2Ho2In
_chemical_formula_sum 'Dy2 Y4 Ho4 In2'
_cell_length_a 6.665
_cell_length_b 9.960
_cell_length_c 5.329
_cell_angle_alpha 90.00
_cell_angle_beta 90.00
_cell_angle_gamma 90.00
_symmetry_space_group_name_H-M 'P n n m'
_symmetry_Int_Tables_number 58
_symmetry_space_group_name_Hall '-P 2 2n'
loop_
_atom_site_label
_atom_site_type_symbol
_atom_site_fract_x
_atom_site_fract_y
_atom_site_fract_z
_atom_site_occupancy
Dy1 Dy 0.000 0.000 0.000 1
Y1 Y 0.239 0.339 0.000 1
Ho1 Ho 0.246 0.663 0.000 1
In1 In 0.000 0.500 0.500 1



[7]
# V2Ge2Ir, optimized geometry, DFT PBE-GGA
# - Density: 10.0 Mg/m³
# - Energy of formation: -171 meV per atom
# - Final energy: -7.438 eV/atom
data_V2Ge2Ir
_chemical_formula_sum 'V4 Ge4 Ir2'
_cell_length_a 6.357
_cell_length_b 6.357
_cell_length_c 3.621
_cell_angle_alpha 90.00
_cell_angle_beta 90.00
_cell_angle_gamma 90.00
_symmetry_space_group_name_H-M 'P 4/m b m'
_symmetry_Int_Tables_number 127
_symmetry_space_group_name_Hall '-P 4 2ab'
loop_
_atom_site_label
_atom_site_type_symbol
_atom_site_fract_x
_atom_site_fract_y
_atom_site_fract_z
_atom_site_occupancy
V1 V 0.164 0.336 0.000 1
Ge1 Ge 0.138 0.638 0.500 1
Ir1 Ir 0.000 0.000 0.500 1



[8]
# Rb2VHgI, optimized geometry, DFT PBE-GGA
# - Density: 3.5 Mg/m³
# - ΔE_f (raw): 0.227 eV/atom
# - Final energy: -2.354 eV/atom
data_Rb2VHgI
_chemical_formula_sum 'Rb2 V1 Hg1 I1'
_cell_length_a 7.042
_cell_length_b 7.042
_cell_length_c 5.330
_cell_angle_alpha 90.00
_cell_angle_beta 90.00
_cell_angle_gamma 90.00
_symmetry_space_group_name_H-M 'P 4/m m m'
_symmetry_Int_Tables_number 123
_symmetry_space_group_name_Hall '-P 4 2'
loop_
_atom_site_label
_atom_site_type_symbol
_atom_site_fract_x
_atom_site_fract_y
_atom_site_fract_z
_atom_site_occupancy
Rb1 Rb 0.000 0.500 0.000 1
V1 V 0.000 0.000 0.000 1
Hg1 Hg 0.500 0.500 0.500 1
I1 I 0.000 0.000 0.500 1